(1)
Sr2NiAs: relaxed, GGA-PBE.

Computed properties:
DFT total energy   -0.2798 Ry/atom
Crystal system   orthorhombic
Formation enthalpy at 0 K   -0.36 eV per atom
Size of the total moment   0.110 μB/f.u.
Symmetry   Cmmm

Unit cell a=8.2260 b=5.1042 c=3.9700 alpha=90.02 beta=61.11 gamma=128.16
Closest atoms and distances in Å follow each position.
Element x y z (fractional)
As 0.0000 0.5000 0.5000  8 Sr 3.23, 4 Ni 3.60-3.62
Sr 0.5000 0.0000 0.5000  4 As 3.23, 4 Ni 3.23, 4 Sr 3.60-3.62
Sr 0.0000 0.0000 0.0000  4 Ni 3.23, 4 As 3.23, 4 Sr 3.60-3.62
Ni 0.5000 0.5000 0.0000  8 Sr 3.23, 4 As 3.60-3.62

(2)
SrNi2As: relaxed, GGA-PBE.

Computed properties:
DFT total energy   -0.3583 Ry/atom
Crystal system   tetragonal
Formation enthalpy at 0 K   -0.40 eV per atom
Size of the total moment   0.000 μB/f.u.
Symmetry   I-42d

Unit cell a=4.7510 b=4.7510 c=8.4769 alpha=73.73 beta=73.73 gamma=90.00
Closest atoms and distances in Å follow each position.
Element x y z (fractional)
Ni 0.3954 0.6250 0.2500  2 As 2.28, 2 Ni 2.38
Ni 0.3546 0.1250 0.2500  2 As 2.28, 2 Ni 2.38
Ni 0.8750 0.6046 0.7500  2 As 2.28, 2 Ni 2.38
Ni 0.3750 0.6454 0.7500  2 As 2.28, 2 Ni 2.38
As 0.2500 0.7500 0.5000  4 Ni 2.28
As 0.5000 0.5000 0.0000  4 Ni 2.28
Sr 0.0000 0.0000 0.0000  8 Ni 3.22-3.36, 4 As 3.36
Sr 0.7500 0.2500 0.5000  8 Ni 3.22-3.36, 4 As 3.36

(3)
SrNi2As: relaxed, GGA-PBE.

Computed properties:
DFT total energy   -0.3497 Ry/atom
Crystal system   tetragonal
Formation enthalpy at 0 K   -0.28 eV per atom
Size of the total moment   0.000 μB/f.u.
Symmetry   P4/nmm

Unit cell a=4.0480 b=4.0480 c=9.3087 alpha=90.00 beta=90.00 gamma=90.00
Closest atoms and distances in Å follow each position.
Element x y z (fractional)
As 0.0000 0.5000 0.3605  5 Ni 2.34-2.40
As 0.5000 0.0000 0.6395  5 Ni 2.34-2.40
Sr 0.0000 0.5000 0.7860  9 Ni 3.01-3.34, 4 As 3.17
Sr 0.5000 0.0000 0.2140  9 Ni 3.01-3.34, 4 As 3.17
Ni 0.5000 0.5000 0.5000  4 As 2.40
Ni 0.0000 0.0000 0.5000  4 As 2.40
Ni 0.5000 0.0000 0.8907  1 As 2.34
Ni 0.0000 0.5000 0.1093  1 As 2.34

(4)
Sr2NiAs: relaxed, GGA-PBE.

Computed properties:
DFT total energy   -0.2643 Ry/atom
Crystal system   tetragonal
Formation enthalpy at 0 K   -0.15 eV per atom
Size of the total moment   0.000 μB/f.u.
Symmetry   P4mm

Unit cell a=3.5932 b=3.5932 c=8.7361 alpha=90.00 beta=90.00 gamma=90.00
Closest atoms and distances in Å follow each position.
Element x y z (fractional)
Sr 0.5000 0.5000 0.3320  1 Ni 2.85
Sr 0.0000 0.0000 0.9258  1 As 2.99
Ni 0.5000 0.5000 0.6584  4 As 2.62, 1 Sr 2.85
As 0.0000 0.0000 0.5837  4 Ni 2.62

(5)
SrNiAs: relaxed, GGA-PBE.

Computed properties:
DFT total energy   -0.3053 Ry/atom
Crystal system   orthorhombic
Formation enthalpy at 0 K   -0.12 eV per atom
Size of the total moment   0.000 μB/f.u.
Symmetry   Imm2

Unit cell a=5.1770 b=5.1770 c=5.1770 alpha=128.75 beta=135.85 gamma=69.91
Closest atoms and distances in Å follow each position.
Element x y z (fractional)
Sr 0.6758 0.6758 0.0000  5 As 3.01-3.21, 5 Ni 3.13-3.24
As 0.0305 0.0305 0.0000  1 Ni 2.23
Ni 0.2936 0.2936 0.0000  1 As 2.23

(6)
Sr3Ni6As5: relaxed, GGA-PBE.

Computed properties:
DFT total energy   -0.3756 Ry/atom
Crystal system   orthorhombic
Formation enthalpy at 0 K   -0.61 eV per atom
Size of the total moment   0.000 μB/f.u.
Symmetry   Pmmn

Unit cell a=4.0194 b=10.5044 c=12.4346 alpha=90.00 beta=90.00 gamma=90.00
Closest atoms and distances in Å follow each position.
Element x y z (fractional)
As 0.5000 0.4793 0.6197  5 Ni 2.33-2.51
As 0.0000 0.8800 0.6676  4 Ni 2.37-2.41
As 0.5000 0.1107 0.5000  4 Ni 2.36-2.39
As 0.0000 0.5207 0.1197  5 Ni 2.33-2.51
As 0.0000 0.8893 0.0000  4 Ni 2.36-2.39
As 0.5000 0.1200 0.1676  4 Ni 2.37-2.41
As 0.0000 0.8800 0.3324  4 Ni 2.37-2.41
As 0.5000 0.4793 0.3803  5 Ni 2.33-2.51
As 0.5000 0.1200 0.8324  4 Ni 2.37-2.41
As 0.0000 0.5207 0.8803  5 Ni 2.33-2.51
Ni 0.5000 0.5009 0.0000  2 Ni 2.50, 4 As 2.51
Ni 0.0000 0.5562 0.6951  3 As 2.33-2.36, 1 Ni 2.50
Ni 0.5000 0.0067 0.0000  4 As 2.36-2.40
Ni 0.5000 0.4438 0.1951  3 As 2.33-2.36, 1 Ni 2.50
Ni 0.5000 0.4438 0.8049  3 As 2.33-2.36, 1 Ni 2.50
Ni 0.0000 0.0010 0.8321  4 As 2.37-2.41
Ni 0.0000 0.9933 0.5000  4 As 2.36-2.40
Ni 0.0000 0.5562 0.3049  3 As 2.33-2.36, 1 Ni 2.50
Ni 0.5000 0.9990 0.6679  4 As 2.37-2.41
Ni 0.0000 0.4991 0.5000  2 Ni 2.50, 4 As 2.51
Ni 0.5000 0.9990 0.3321  4 As 2.37-2.41
Ni 0.0000 0.0010 0.1679  4 As 2.37-2.41
Sr 0.0000 0.2489 0.3335  6 As 3.18-3.23, 8 Ni 3.25-3.39
Sr 0.5000 0.7476 0.5000  6 As 3.19-3.21, 6 Ni 3.27-3.37
Sr 0.0000 0.2489 0.6665  6 As 3.18-3.23, 8 Ni 3.25-3.39
Sr 0.0000 0.2524 0.0000  6 As 3.19-3.21, 6 Ni 3.27-3.37
Sr 0.5000 0.7511 0.8335  6 As 3.18-3.23, 8 Ni 3.25-3.39
Sr 0.5000 0.7511 0.1665  6 As 3.18-3.23, 8 Ni 3.25-3.39